Run one
The following is a DFT calculation (GGA-PBEsol) of crystalline TaPO5 at its relaxed geometry.

Cell and atoms, written as CIF:
```
data_TaPO5
_chemical_formula_sum 'Ta4 P4 O20'
_cell_length_a 6.7353
_cell_length_b 5.3740
_cell_length_c 11.3503
_cell_angle_alpha 90.00
_cell_angle_beta 90.02
_cell_angle_gamma 90.00
_symmetry_space_group_name_H-M 'P 1 21/m 1'
_symmetry_Int_Tables_number 11
loop_
_symmetry_equiv_pos_as_xyz
'x,y,z'
'-x,-y,-z'
'-x,y+1/2,-z'
'x,-y+1/2,z'
loop_
_atom_site_label
_atom_site_fract_x
_atom_site_fract_y
_atom_site_fract_z
Ta1 0.1688 0.2500 0.0629
Ta2 0.3314 0.2500 0.5630
P1 0.0282 0.7500 0.6538
P2 0.4721 0.7500 0.1537
O1 0.0000 0.0000 0.0000
O2 0.0314 0.2500 0.2153
O3 0.1480 0.5149 0.6284
O4 0.1632 0.2500 0.4202
O5 0.3358 0.2500 0.9196
O6 0.3526 0.5149 0.1278
O7 0.4697 0.2500 0.7152
O8 0.5000 0.0000 0.5000
```


Run two
The following is a DFT calculation (GGA-PBEsol) of crystalline TaPO5 at its relaxed geometry.

Cell and atoms, written as CIF:
```
data_TaPO5
_chemical_formula_sum 'Ta2 P2 O10'
_cell_length_a 6.4706
_cell_length_b 6.4706
_cell_length_c 3.9750
_cell_angle_alpha 90.00
_cell_angle_beta 90.00
_cell_angle_gamma 90.00
_symmetry_space_group_name_H-M 'P 4/n m m'
_symmetry_Int_Tables_number 129
loop_
_symmetry_equiv_pos_as_xyz
'x,y,z'
'-x,-y,-z'
'-y+1/2,x,z'
'y+1/2,-x,-z'
'-x+1/2,-y+1/2,z'
'x+1/2,y+1/2,-z'
'y,-x+1/2,z'
'-y,x+1/2,-z'
'x+1/2,-y,-z'
'-x+1/2,y,z'
'-y,-x,-z'
'y,x,z'
'-x,y+1/2,-z'
'x,-y+1/2,z'
'y+1/2,x+1/2,-z'
'-y+1/2,-x+1/2,z'
loop_
_atom_site_label
_atom_site_fract_x
_atom_site_fract_y
_atom_site_fract_z
Ta1 0.2500 0.2500 0.2368
P1 0.2500 0.7500 0.5000
O1 0.0551 0.7500 0.7199
O2 0.2500 0.2500 0.7752
```


The winner here is run one, beating the second structure by 3.5 kJ/mol of atoms.


Run one
The following is a DFT calculation (GGA-PBEsol) of crystalline TiP4O12 at its relaxed geometry.

Cell and atoms, written as CIF:
```
data_TiP4O12
_chemical_formula_sum 'Ti4 P16 O48'
_cell_length_a 13.0507
_cell_length_b 8.0719
_cell_length_c 9.1303
_cell_angle_alpha 90.00
_cell_angle_beta 90.00
_cell_angle_gamma 90.00
_symmetry_space_group_name_H-M 'P b c n'
_symmetry_Int_Tables_number 60
loop_
_symmetry_equiv_pos_as_xyz
'x,y,z'
'-x,-y,-z'
'-x+1/2,-y+1/2,z+1/2'
'x+1/2,y+1/2,-z+1/2'
'x+1/2,-y+1/2,-z'
'-x+1/2,y+1/2,z'
'-x,y,-z+1/2'
'x,-y,z+1/2'
loop_
_atom_site_label
_atom_site_fract_x
_atom_site_fract_y
_atom_site_fract_z
Ti1 0.0000 0.1614 0.2500
P1 0.1453 0.0408 0.5189
P2 0.1510 0.3242 0.0046
O1 0.0669 0.0230 0.6390
O2 0.0743 0.3079 0.1315
O3 0.1133 0.1455 0.3896
O4 0.1284 0.4263 0.8770
O5 0.1794 0.1352 0.9598
O6 0.2445 0.1209 0.5888
```


Run two
The following is a DFT calculation (GGA-PBEsol) of crystalline TiP4O12 at its relaxed geometry.

Cell and atoms, written as CIF:
```
data_TiP4O12
_chemical_formula_sum 'Ti4 P16 O48'
_cell_length_a 8.1103
_cell_length_b 11.3939
_cell_length_c 9.4224
_cell_angle_alpha 90.00
_cell_angle_beta 95.07
_cell_angle_gamma 90.00
_symmetry_space_group_name_H-M 'C 1 2/c 1'
_symmetry_Int_Tables_number 15
loop_
_symmetry_equiv_pos_as_xyz
'x,y,z'
'-x,-y,-z'
'-x,y,-z+1/2'
'x,-y,z+1/2'
'x+1/2,y+1/2,z'
'-x+1/2,-y+1/2,-z'
'-x+1/2,y+1/2,-z+1/2'
'x+1/2,-y+1/2,z+1/2'
loop_
_atom_site_label
_atom_site_fract_x
_atom_site_fract_y
_atom_site_fract_z
Ti1 0.0000 0.1138 0.2500
P1 0.0401 0.3244 0.0317
P2 0.2444 0.0275 0.5339
O1 0.0199 0.2816 0.6092
O2 0.0943 0.4095 0.3974
O3 0.0980 0.2383 0.1507
O4 0.1403 0.0019 0.1536
O5 0.1616 0.1001 0.4138
O6 0.1968 0.4115 0.0382
```


The winner here is run one, beating the second structure by 2.4 kJ/mol of atoms.


Run one
The following is a DFT calculation (GGA-PBEsol) of crystalline Y2TlPO at its relaxed geometry.

Cell and atoms, written as CIF:
```
data_Y2TlPO
_chemical_formula_sum 'Y2 Tl1 P1 O1'
_cell_length_a 5.1913
_cell_length_b 5.1913
_cell_length_c 4.8559
_cell_angle_alpha 90.00
_cell_angle_beta 90.00
_cell_angle_gamma 90.00
_symmetry_space_group_name_H-M 'P 4/m m m'
_symmetry_Int_Tables_number 123
_symmetry_space_group_name_Hall '-P 4 2'
loop_
_atom_site_label
_atom_site_fract_x
_atom_site_fract_y
_atom_site_fract_z
Y1 0.0000 0.5000 0.0000
Tl1 0.0000 0.0000 0.5000
P1 0.0000 0.0000 0.0000
O1 0.5000 0.5000 0.5000
```


Run two
The following is a DFT calculation (GGA-PBEsol) of crystalline Y2TlPO at its relaxed geometry.

Cell and atoms, written as CIF:
```
data_Y2TlPO
_chemical_formula_sum 'Y2 Tl1 P1 O1'
_cell_length_a 5.6282
_cell_length_b 5.6282
_cell_length_c 4.6992
_cell_angle_alpha 90.00
_cell_angle_beta 90.00
_cell_angle_gamma 90.00
_symmetry_space_group_name_H-M 'P 4/m m m'
_symmetry_Int_Tables_number 123
_symmetry_space_group_name_Hall '-P 4 2'
loop_
_atom_site_label
_atom_site_fract_x
_atom_site_fract_y
_atom_site_fract_z
Y1 0.0000 0.5000 0.0000
Tl1 0.0000 0.0000 0.0000
P1 0.0000 0.0000 0.5000
O1 0.5000 0.5000 0.5000
```


The winner here is run one, beating the second structure by 71.5 kJ/mol of atoms.


Run one
The following is a DFT calculation (GGA-PBEsol) of crystalline VP3O9 at its relaxed geometry.

Cell and atoms, written as CIF:
```
data_VP3O9
_chemical_formula_sum 'V4 P12 O36'
_cell_length_a 8.3914
_cell_length_b 8.4198
_cell_length_c 9.0975
_cell_angle_alpha 90.00
_cell_angle_beta 90.00
_cell_angle_gamma 90.00
_symmetry_space_group_name_H-M 'P 21 21 21'
_symmetry_Int_Tables_number 19
loop_
_symmetry_equiv_pos_as_xyz
'x,y,z'
'-x+1/2,-y,z+1/2'
'x+1/2,-y+1/2,-z'
'-x,y+1/2,-z+1/2'
loop_
_atom_site_label
_atom_site_fract_x
_atom_site_fract_y
_atom_site_fract_z
V1 0.1258 0.0967 0.1385
P1 0.0691 0.7282 0.0806
P2 0.0701 0.9475 0.8336
P3 0.2152 0.5609 0.5522
O1 0.0158 0.7888 0.9212
O2 0.0663 0.1425 0.3466
O3 0.1018 0.5274 0.6932
O4 0.1116 0.5898 0.4200
O5 0.1378 0.9022 0.6878
O6 0.1389 0.8650 0.1653
O7 0.1566 0.3244 0.0935
O8 0.1701 0.0521 0.9307
O9 0.2046 0.6089 0.0299
```


Run two
The following is a DFT calculation (GGA-PBEsol) of crystalline VP3O9 at its relaxed geometry.

Cell and atoms, written as CIF:
```
data_VP3O9
_chemical_formula_sum 'V4 P12 O36'
_cell_length_a 13.2078
_cell_length_b 6.4669
_cell_length_c 9.4727
_cell_angle_alpha 90.00
_cell_angle_beta 126.62
_cell_angle_gamma 90.00
_symmetry_space_group_name_H-M 'C 1 c 1'
_symmetry_Int_Tables_number 9
loop_
_symmetry_equiv_pos_as_xyz
'x,y,z'
'x,-y,z+1/2'
'x+1/2,y+1/2,z'
'x+1/2,-y+1/2,z+1/2'
loop_
_atom_site_label
_atom_site_fract_x
_atom_site_fract_y
_atom_site_fract_z
V1 0.0000 0.2397 0.0000
P1 0.1365 0.1013 0.8225
P2 0.2431 0.4485 0.7370
P3 0.3615 0.0868 0.6754
O1 0.0286 0.1187 0.8340
O2 0.1170 0.0353 0.1805
O3 0.1496 0.4111 0.0903
O4 0.1706 0.3269 0.7973
O5 0.2643 0.0459 0.0063
O6 0.2776 0.2822 0.6481
O7 0.3578 0.4572 0.3983
O8 0.3959 0.0311 0.3348
O9 0.4662 0.1535 0.6669
```


The winner here is run two, beating the second structure by 1.6 kJ/mol of atoms.


Run one
The following is a DFT calculation (GGA-PBEsol) of crystalline P2W2O11 at its relaxed geometry.

Cell and atoms, written as CIF:
```
data_P2W2O11
_chemical_formula_sum 'P4 W4 O22'
_cell_length_a 7.6804
_cell_length_b 7.8463
_cell_length_c 6.3603
_cell_angle_alpha 90.00
_cell_angle_beta 90.00
_cell_angle_gamma 90.00
_symmetry_space_group_name_H-M 'P n n m'
_symmetry_Int_Tables_number 58
loop_
_symmetry_equiv_pos_as_xyz
'x,y,z'
'-x,-y,-z'
'-x,-y,z'
'x,y,-z'
'x+1/2,-y+1/2,-z+1/2'
'-x+1/2,y+1/2,z+1/2'
'-x+1/2,y+1/2,-z+1/2'
'x+1/2,-y+1/2,z+1/2'
loop_
_atom_site_label
_atom_site_fract_x
_atom_site_fract_y
_atom_site_fract_z
P1 0.1157 0.2464 0.0000
W1 0.1831 0.1586 0.5000
O1 0.0000 0.0000 0.5000
O2 0.0616 0.3406 0.5000
O3 0.0862 0.7692 0.0000
O4 0.1700 0.4307 0.0000
O5 0.1874 0.1466 0.1921
```


Run two
The following is a DFT calculation (GGA-PBEsol) of crystalline P2W2O11 at its relaxed geometry.

Cell and atoms, written as CIF:
```
data_P2W2O11
_chemical_formula_sum 'P8 W8 O44'
_cell_length_a 7.8625
_cell_length_b 12.5866
_cell_length_c 7.8991
_cell_angle_alpha 90.00
_cell_angle_beta 92.49
_cell_angle_gamma 90.00
_symmetry_space_group_name_H-M 'P 1 21/m 1'
_symmetry_Int_Tables_number 11
loop_
_symmetry_equiv_pos_as_xyz
'x,y,z'
'-x,-y,-z'
'-x,y+1/2,-z'
'x,-y+1/2,z'
loop_
_atom_site_label
_atom_site_fract_x
_atom_site_fract_y
_atom_site_fract_z
P1 0.0723 0.2500 0.3443
P2 0.2494 0.7500 0.1049
P3 0.2516 0.0038 0.6154
W1 0.1514 0.0026 0.1917
W2 0.3626 0.2500 0.6932
W3 0.3639 0.7500 0.6940
O1 0.0000 0.0000 0.0000
O2 0.0747 0.0257 0.6719
O3 0.1045 0.1512 0.2336
O4 0.1054 0.7500 0.5905
O5 0.1669 0.6524 0.1854
O6 0.2070 0.2500 0.4921
O7 0.2082 0.2500 0.8390
O8 0.2229 0.7500 0.9141
O9 0.2583 0.5056 0.4204
O10 0.3332 0.5953 0.6973
O11 0.3341 0.0246 0.0881
O12 0.3737 0.0975 0.6650
O13 0.4421 0.7500 0.4848
O14 0.4440 0.7500 0.1510
O15 0.4496 0.2500 0.1859
```


The winner here is run two, beating the second structure by 0.6 kJ/mol of atoms.